# AlTl3Fe

A relaxed structure of AlTl3Fe (PBE-GGA, Alexandria via LeMat-Bulk).

Cell: 5.1304 5.1304 5.1304 Å, 90.00 90.00 90.00°
Closest atoms and distances in Å follow each position.
Sites, in units of the cell vectors:
Al 0.0000 0.0000 0.0000  12 Tl 3.63
Tl 0.0000 0.5000 0.5000  2 Fe 2.57
Tl 0.5000 0.0000 0.5000  2 Fe 2.57
Tl 0.5000 0.5000 0.0000  2 Fe 2.57
Fe 0.5000 0.5000 0.5000  6 Tl 2.57

Results
The energy relative to the lowest polymorph listed for this composition comes out at 0.000 eV/atom. Its density is 8.56 g cm⁻³. As for the formation energy: 522 meV per atom. The crystal system is cubic.

# MnCdBi2Ru

A relaxed structure of MnCdBi2Ru (PBE-GGA, Alexandria via LeMat-Bulk).

Cell: 5.2436 5.2436 5.0076 Å, 90.00 90.00 90.00°
Closest atoms and distances in Å follow each position.
Sites, in units of the cell vectors:
Mn 0.0000 0.0000 0.0000  2 Ru 2.50
Cd 0.5000 0.5000 0.0000  8 Bi 3.63, 4 Mn 3.71
Bi 0.0000 0.5000 0.5000  2 Ru 2.62
Bi 0.5000 0.0000 0.5000  2 Ru 2.62
Ru 0.0000 0.0000 0.5000  2 Mn 2.50, 4 Bi 2.62

Results
Its density is 8.28 g cm⁻³. As for the formation energy: 552 meV per atom. The crystal system is tetragonal.